Record 1
Below is a relaxed Ag2TeCl crystal, with properties calculated at the PBE level.

raw formation energy: -74 kJ/mol of formula units
space group: No. 12
ΔE to the lowest computed polymorph: 2 meV/atom

a = 4.1496 Å, b = 4.1496 Å, c = 7.9475 Å
α = 67.22°, β = 67.22°, γ = 53.75°
Last column: nearest neighbours and their distance in Å.
Positions (direct):
1 Te 0.7500 0.7500 0.7500  6 Ag 2.87-2.91
2 Ag 0.9575 0.9575 0.9878  2 Cl 2.73, 3 Te 2.87-2.91
3 Ag 0.5425 0.5425 0.5122  2 Cl 2.73, 3 Te 2.87-2.91
4 Cl 0.2500 0.2500 0.2500  4 Ag 2.73

=====

Record 2
Below is a relaxed Ca2Cu5Ge4 crystal, with properties calculated at the PBE level.

space group: No. 69
formation energy: -0.198 eV per atom

a = 5.5167 Å, b = 5.5728 Å, c = 7.8505 Å
α = 79.98°, β = 69.43°, γ = 60.33°
Last column: nearest neighbours and their distance in Å.
Positions (direct):
1 Ca 0.8569 0.0000 0.2862  6 Ge 3.12-3.39, 10 Cu 3.20-3.49
2 Ca 0.1431 0.0000 0.7138  6 Ge 3.12-3.39, 10 Cu 3.20-3.49
3 Cu 0.5000 0.0000 0.0000  4 Ge 2.41
4 Cu 0.0000 0.5000 0.0000  4 Ge 2.56, 4 Cu 2.76-2.79
5 Cu 0.5000 0.5000 0.0000  4 Ge 2.56, 4 Cu 2.76-2.79
6 Cu 0.2500 0.5000 0.5000  4 Ge 2.43
7 Cu 0.7500 0.5000 0.5000  4 Ge 2.43
8 Ge 0.4806 0.3002 0.7387  5 Cu 2.41-2.56
9 Ge 0.5194 0.6998 0.2613  5 Cu 2.41-2.56
10 Ge 0.2193 0.3002 0.2613  5 Cu 2.41-2.56
11 Ge 0.7807 0.6998 0.7387  5 Cu 2.41-2.56

=====

Record 3
Below is a relaxed Hf2TlH crystal, with properties calculated at the PBE level.

space group: No. 141
ΔE to the lowest computed polymorph: 363 meV/atom

a = 5.6411 Å, b = 5.6411 Å, c = 6.4244 Å
α = 63.96°, β = 63.96°, γ = 90.00°
Last column: nearest neighbours and their distance in Å.
Positions (direct):
1 H 0.5000 0.5000 0.0000  4 Hf 1.89
2 H 0.2500 0.7500 0.5000  4 Hf 1.89
3 Tl 0.0000 0.0000 0.0000  8 Hf 3.39-3.40, 4 Tl 3.78, 4 H 3.78
4 Tl 0.7500 0.2500 0.5000  8 Hf 3.39-3.40, 4 Tl 3.78, 4 H 3.78
5 Hf 0.3751 0.1250 0.2500  2 H 1.89
6 Hf 0.3749 0.6250 0.2500  2 H 1.89
7 Hf 0.3750 0.6249 0.7500  2 H 1.89
8 Hf 0.8750 0.6251 0.7500  2 H 1.89

=====

Record 4
Below is a relaxed NaMgBiSb crystal, with properties calculated at the PBE level.

raw formation energy: -64 kJ/mol of formula units
space group: No. 216

a = 5.3174 Å, b = 5.3174 Å, c = 5.3174 Å
α = 60.00°, β = 60.00°, γ = 60.00°
Last column: nearest neighbours and their distance in Å.
Positions (direct):
1 Sb 0.0000 0.0000 0.0000  4 Na 3.26, 4 Mg 3.26
2 Mg 0.7500 0.7500 0.7500  4 Bi 3.26, 4 Sb 3.26
3 Bi 0.5000 0.5000 0.5000  4 Mg 3.26, 4 Na 3.26
4 Na 0.2500 0.2500 0.2500  4 Bi 3.26, 4 Sb 3.26

=====

Record 5
Below is a relaxed NdThIn4 crystal, with properties calculated at the PBE level.

space group: No. 216
formation energy: -0.326 eV per atom

a = 6.0889 Å, b = 6.0889 Å, c = 6.0889 Å
α = 60.00°, β = 60.00°, γ = 60.00°
Last column: nearest neighbours and their distance in Å.
Positions (direct):
1 Nd 0.2500 0.2500 0.2500  12 In 3.57, 4 Th 3.73
2 Th 0.0000 0.0000 0.0000  12 In 3.57, 4 Nd 3.73
3 In 0.6251 0.6251 0.1246  6 In 3.04-3.05
4 In 0.6251 0.1246 0.6251  6 In 3.04-3.05
5 In 0.6251 0.6251 0.6251  6 In 3.04-3.05
6 In 0.1246 0.6251 0.6251  6 In 3.04-3.05

=====

Record 6
Below is a relaxed BaFe2Te2 crystal, with properties calculated at the PBE level.

raw formation energy: -155 kJ/mol of formula units
space group: No. 139

a = 7.3746 Å, b = 7.3746 Å, c = 7.3746 Å
α = 147.26°, β = 147.26°, γ = 46.99°
Last column: nearest neighbours and their distance in Å.
Positions (direct):
1 Ba 0.0000 0.0000 0.0000  8 Te 3.55, 8 Fe 3.97
2 Fe 0.2500 0.7500 0.5000  4 Te 2.50
3 Fe 0.7500 0.2500 0.5000  4 Te 2.50
4 Te 0.6477 0.6477 0.0000  4 Fe 2.50
5 Te 0.3523 0.3523 0.0000  4 Fe 2.50

=====

Record 7
Below is a relaxed TaNi2Br crystal, with properties calculated at the PBE level.

raw formation energy: 195 kJ/mol of formula units
space group: No. 44
ΔE to the lowest computed polymorph: 393 meV/atom

a = 5.1821 Å, b = 5.1821 Å, c = 5.1821 Å
α = 145.28°, β = 130.40°, γ = 61.96°
Last column: nearest neighbours and their distance in Å.
Positions (direct):
1 Br 0.2462 0.7462 0.5000  6 Ni 2.67-2.73, 2 Ta 2.71
2 Ni 0.9931 0.9931 0.0000  2 Ni 2.56, 4 Ta 2.67, 2 Br 2.73
3 Ni 0.7633 0.2633 0.5000  2 Ni 2.56, 4 Br 2.67, 2 Ta 2.82
4 Ta 0.4973 0.4973 0.0000  6 Ni 2.67-2.82, 2 Br 2.71

=====

Record 8
Below is a relaxed AsC3 crystal, with properties calculated at the PBE level.

space group: No. 223
formation energy: 3.457 eV per atom
ΔE to the lowest computed polymorph: 2695 meV/atom

a = 4.2690 Å, b = 4.2690 Å, c = 4.2690 Å
α = 90.00°, β = 90.00°, γ = 90.00°
Last column: nearest neighbours and their distance in Å.
Positions (direct):
1 As 0.0000 0.0000 0.0000  12 C 2.39
2 As 0.5000 0.5000 0.5000  12 C 2.39
3 C 0.7500 0.5000 0.0000  2 C 2.13, 4 As 2.39
4 C 0.2500 0.5000 0.0000  2 C 2.13, 4 As 2.39
5 C 0.0000 0.7500 0.5000  2 C 2.13, 4 As 2.39
6 C 0.0000 0.2500 0.5000  2 C 2.13, 4 As 2.39
7 C 0.5000 0.0000 0.2500  2 C 2.13, 4 As 2.39
8 C 0.5000 0.0000 0.7500  2 C 2.13, 4 As 2.39

=====

no.,spin magnetization (μB/f.u.),final energy (eV/atom)
1,0.00,-2.864
2,0.00,-4.103
3,0.00,-6.161
4,0.00,-2.895
5,0.00,-4.183
6,0.00,-5.348
7,0.00,-5.767
8,0.00,-4.623